# 1
Computed, not measured: Pr3TmH after structural relaxation at the PBE level of DFT.

* SG: Pm-3m
* E: -23.0 eV/cell
* total moment: 0.00 μB/f.u.

a b c (Å): 5.169 5.169 5.169
angles (deg): 90.00 90.00 90.00
Positions (direct):
Pr 0.000 0.500 0.000
Pr 0.000 0.000 0.500
Pr 0.500 0.000 0.000
H 0.000 0.000 0.000
Tm 0.500 0.500 0.500

---

# 2
Computed, not measured: K2IrAuF6 after structural relaxation at the PBE level of DFT.

* SG: Fm-3m
* uncorrected formation energy: -1698 meV per atom
* total moment: 0.20 μB/f.u.

a b c (Å): 6.290 6.290 6.290
angles (deg): 60.00 60.00 60.00
Site moments in Bohr magnetons follow the coordinates.
Positions (direct):
K 0.750 0.750 0.750  0.00
K 0.250 0.250 0.250  0.00
Ir 0.000 0.000 0.000  0.16
Au 0.500 0.500 0.500  0.00
F 0.230 0.770 0.230  0.01
F 0.770 0.230 0.230  0.01
F 0.770 0.230 0.770  0.01
F 0.230 0.230 0.770  0.01
F 0.770 0.770 0.230  0.01
F 0.230 0.770 0.770  0.01

---

# 3
Computed, not measured: Tl2CoNi after structural relaxation at the PBE level of DFT.

* E above lowest polymorph: 0 meV per atom
* SG: P4mm
* formation energy from the elements: 0.395 eV per atom
* total moment: 2.24 μB/f.u.

a b c (Å): 3.204 3.205 7.703
angles (deg): 90.00 90.00 90.00
Site moments in Bohr magnetons follow the coordinates.
Positions (direct):
Co 0.000 0.000 0.569  1.70
Ni 0.500 0.500 0.681  0.65
Tl 0.000 0.000 0.938  -0.02
Tl 0.500 0.500 0.312  -0.01

---

# 4
Computed, not measured: BaRe2Cl after structural relaxation at the PBE level of DFT.

* E above lowest polymorph: 315 meV per atom
* SG: C2/m
* uncorrected formation energy: 428 meV per atom
* total moment: 0.00 μB/f.u.

a b c (Å): 6.770 6.770 4.948
angles (deg): 71.95 71.95 29.96
Positions (direct):
Re 0.984 0.984 0.913
Re 0.516 0.516 0.587
Ba 0.750 0.750 0.750
Cl 0.250 0.250 0.250